{
  "formula": "Ca2VReO6",
  "functional": "GGA+U",
  "state": "relaxed",
  "space_group": "P2_1/c, No. 14",
  "dft_energy_ev_per_atom": -7.661,
  "m_tot_mub_per_atom": 0.400,
  "lattice_angstrom": [[-0.9167, 4.8664, 2.2377], [-5.3329, -1.4929, 1.0621], [2.1555, -2.7764, 6.9207]],
  "species": ["Ca", "Ca", "Ca", "Ca", "V", "V", "Re", "Re", "O", "O", "O", "O", "O", "O", "O", "O", "O", "O", "O", "O"],
  "frac_coords": [[0.0124, 0.9491, 0.2499], [0.5124, 0.5509, 0.7499], [0.9876, 0.0509, 0.7501], [0.4876, 0.4491, 0.2501], [0.5000, 0.0000, 0.0000], [0.0000, 0.5000, 0.5000], [0.5000, 0.0000, 0.5000], [0.0000, 0.5000, 0.0000], [0.2934, 0.6963, 0.0458], [0.7934, 0.8037, 0.5458], [0.7066, 0.3037, 0.9542], [0.2066, 0.1963, 0.4542], [0.3036, 0.7080, 0.4506], [0.8036, 0.7920, 0.9506], [0.6964, 0.2920, 0.5494], [0.1964, 0.2080, 0.0494], [0.9081, 0.5323, 0.2460], [0.4081, 0.9677, 0.7460], [0.0919, 0.4677, 0.7540], [0.5919, 0.0323, 0.2540]]
}